Entry 1:
Material: Nd3Si2Ni6
Method: DFT, PBE-GGA
State: relaxed

Unit cell a=8.9512 b=8.9512 c=8.9512 alpha=90.00 beta=90.00 gamma=90.00
Space group Im-3m (No. 229)
Asymmetric unit:
Nd  0.0000  0.0000  0.2863
Si  0.2500  0.2500  0.2500
Ni  0.0000  0.3292  0.3292

Properties
Formation energy (no corrections) (meV per atom): -536
Mass density (g/cm3): 7.8



Entry 2:
Material: NdSiNi
Method: DFT, PBE-GGA
State: relaxed

Unit cell a=4.0077 b=4.0077 c=4.2581 alpha=90.00 beta=90.00 gamma=120.00
Space group P-6m2 (No. 187)
Asymmetric unit:
Nd  0.0000  0.0000  0.0000
Si  0.3333  0.6667  0.5000
Ni  0.6667  0.3333  0.5000

Properties
Formation energy (no corrections) (meV per atom): -710
Mass density (g/cm3): 6.5



Entry 3:
Material: NdSi3Ni
Method: DFT, PBE-GGA
State: relaxed

Unit cell a=4.4312 b=14.1161 c=5.6008 alpha=90.00 beta=90.00 gamma=90.00
Space group Cmcm (No. 63)
Asymmetric unit:
Nd  0.0000  0.0869  0.2500
Si  0.0000  0.1305  0.7500
Si  0.0000  0.2891  0.5192
Ni  0.0000  0.4161  0.2500

Properties
Formation energy (no corrections) (meV per atom): -258
Mass density (g/cm3): 5.4



Entry 4:
Material: Nd3Si4Ni2
Method: DFT, PBE-GGA
State: relaxed

Unit cell a=11.0565 b=4.0213 c=8.1991 alpha=90.00 beta=98.64 gamma=90.00
Space group C2/m (No. 12)
Asymmetric unit:
Nd  0.0000  0.0000  0.0000
Nd  0.1641  0.5000  0.6625
Si  0.0560  0.0000  0.3825
Si  0.2194  0.5000  0.0671
Ni  0.1082  0.5000  0.2784

Properties
Formation energy (no corrections) (meV per atom): -788
Distance to the lowest polymorph of the same formula (eV per formula unit): 0.00
Mass density (g/cm3): 6.1



Entry 5:
Material: Nd5SiNi2
Method: DFT, PBE-GGA
State: relaxed

Unit cell a=7.8336 b=7.8336 c=13.1717 alpha=90.00 beta=90.00 gamma=90.00
Space group I4/mcm (No. 140)
Asymmetric unit:
Nd  0.0000  0.0000  0.0000
Nd  0.1629  0.3371  0.1425
Si  0.0000  0.0000  0.2500
Ni  0.1224  0.3776  0.5000

Properties
Formation energy (no corrections) (meV per atom): -326
Mass density (g/cm3): 7.1



Entry 6:
Material: Nd3Si2Ni
Method: DFT, PBE-GGA
State: relaxed

Unit cell a=11.7078 b=4.2354 c=11.6541 alpha=90.00 beta=90.00 gamma=90.00
Space group Pnma (No. 62)
Asymmetric unit:
Nd  0.0607  0.2500  0.1226
Nd  0.1156  0.7500  0.5589
Nd  0.2103  0.2500  0.8031
Si  0.0310  0.7500  0.3130
Si  0.2006  0.7500  0.9906
Ni  0.1298  0.2500  0.3640

Properties
Formation energy (no corrections) (meV per atom): -644
Mass density (g/cm3): 6.3



Q: What is the mass density in the second record?
A: 6.5 g/cm3



Q: The lowest mass density belongs to which entry?
A: NdSi3Ni



Q: mass density of number 5 (Nd5SiNi2)?
A: 7.1 g/cm3